# LiLa2Mo PBE optimized geometry
data_LiLa2Mo
_cell_length_a 3.5737
_cell_length_b 5.0242
_cell_length_c 5.6010
_cell_angle_alpha 90.00
_cell_angle_beta 100.53
_cell_angle_gamma 90.00
_symmetry_space_group_name_H-M 'P 1 m 1'
_symmetry_Int_Tables_number 6
loop_
_symmetry_equiv_pos_as_xyz
'x,y,z'
'x,-y,z'
loop_
_atom_site_label
_atom_site_fract_x
_atom_site_fract_y
_atom_site_fract_z
Li1 0.0000 0.0000 0.0000
La1 0.4782 0.5000 0.8865
La2 0.6111 0.0000 0.4262
Mo1 0.9005 0.5000 0.3057
# * energy of formation from the pure elements: 1.43 eV per formula unit
# * total magnetization: 0.0 μB per formula unit